First-principles (PBE with a Hubbard U) data for a relaxed NaCoPO4 crystal, as listed in Alexandria.

a b c (Å): 5.1511 5.5061 6.3045
angles (deg): 90.00 104.31 90.00
Closest atoms and distances in Å follow each position.
Positions (direct):
Na 0.7032 0.7500 0.9262  2 O 2.29-2.32
Na 0.2968 0.2500 0.0738  2 O 2.29-2.32
Co 0.7952 0.7500 0.4560  6 O 2.09-2.25
Co 0.2048 0.2500 0.5440  6 O 2.09-2.25
P 0.2597 0.7500 0.3331  4 O 1.55-1.57
P 0.7403 0.2500 0.6669  4 O 1.55-1.57
O 0.9383 0.4724 0.7019  1 P 1.57
O 0.0617 0.9724 0.2981  1 P 1.57
O 0.0617 0.5276 0.2981  1 P 1.57
O 0.9383 0.0276 0.7019  1 P 1.57
O 0.4467 0.7500 0.1748  1 P 1.55
O 0.5533 0.2500 0.8252  1 P 1.55
O 0.4457 0.7500 0.5672  1 P 1.55
O 0.5543 0.2500 0.4328  1 P 1.55

Properties
The offset from the most stable computed form is 98 meV/atom. The calculation puts the total magnetization at 6.07 μB/cell. As for the total energy: -0.47083 Ry per atom. The space-group type is P2_1/m (11). For the theoretical density, the calculation gives 3.4 g cm⁻³.